*w*
Density functional theory data (PBE) for crystalline CaSc2In2 at its relaxed geometry.

Lattice parameters (Å, degrees): 8.4333 8.4333 3.6427 90.00 90.00 90.00
Sites, in units of the cell vectors:
Ca: 0.5000 0.5000 0.0000
Ca: 0.0000 0.0000 0.0000
Sc: 0.1709 0.6709 0.5000
Sc: 0.3291 0.1709 0.5000
Sc: 0.6709 0.8291 0.5000
Sc: 0.8291 0.3291 0.5000
In: 0.8712 0.6288 0.0000
In: 0.3712 0.8712 0.0000
In: 0.1288 0.3712 0.0000
In: 0.6288 0.1288 0.0000

N(E_F) (states/eV/f.u.): 6.56
Crystal system: tetragonal

*x*
Density functional theory data (PBE) for crystalline CaSc2In2 at its relaxed geometry.

Lattice parameters (Å, degrees): 8.8215 8.8215 3.2679 90.00 90.00 90.00
Last column: magnetic moment on the atom in μB.
Sites, in units of the cell vectors:
Ca: 0.5000 0.5000 0.0000  0.01
Ca: 0.0000 0.0000 0.0000  0.00
In: 0.8229 0.3229 0.5000  0.00
In: 0.1771 0.6771 0.5000  0.00
In: 0.6771 0.8229 0.5000  0.00
In: 0.3229 0.1771 0.5000  0.00
Sc: 0.6205 0.1205 0.0000  0.21
Sc: 0.8795 0.6205 0.0000  0.21
Sc: 0.1205 0.3795 0.0000  0.21
Sc: 0.3795 0.8795 0.0000  0.21

N(E_F) (states/eV/f.u.): 5.09
Crystal system: tetragonal

*y*
Density functional theory data (PBE) for crystalline CaSc2In2 at its relaxed geometry.

Lattice parameters (Å, degrees): 4.5516 4.5516 7.4470 72.21 72.21 90.00
Last column: magnetic moment on the atom in μB.
Sites, in units of the cell vectors:
Sc: 0.2500 0.7500 0.5000  0.17
Sc: 0.7500 0.2500 0.5000  0.17
Ca: 0.0000 0.0000 0.0000  0.00
In: 0.3955 0.3955 0.2091  -0.01
In: 0.6045 0.6045 0.7909  -0.01

N(E_F) (states/eV/f.u.): 6.84
Crystal system: tetragonal

So which one wins? Going from most stable to least: *x*, *w*, *y*.

*w*
Density functional theory data (PBE) for crystalline CaScIn4 at its relaxed geometry.

Lattice parameters (Å, degrees): 6.0015 6.0015 6.0015 60.00 60.00 60.00
Sites, in units of the cell vectors:
In: 0.3752 0.3752 0.3752
In: 0.3752 0.8743 0.3752
In: 0.3752 0.3752 0.8743
In: 0.8743 0.3752 0.3752
Sc: 0.7500 0.7500 0.7500
Ca: 0.0000 0.0000 0.0000

N(E_F) (states/eV/f.u.): 4.66
Crystal system: cubic

*x*
Density functional theory data (PBE) for crystalline CaScIn4 at its relaxed geometry.

Lattice parameters (Å, degrees): 3.7621 3.7621 11.1712 90.00 90.00 84.57
Sites, in units of the cell vectors:
In: 0.9994 0.9994 0.3056
In: 0.0006 0.0006 0.6944
In: 0.4995 0.4995 0.1535
In: 0.5005 0.5005 0.8465
Sc: 0.0000 0.0000 0.0000
Ca: 0.5000 0.5000 0.5000

N(E_F) (states/eV/f.u.): 5.06
Crystal system: orthorhombic

So which one wins? Going from most stable to least: *x*, *w*.

*w*
Density functional theory data (PBE) for crystalline CaInSe3 at its relaxed geometry.

Lattice parameters (Å, degrees): 5.5891 5.5891 5.5891 90.00 90.00 90.00
Last column: magnetic moment on the atom in μB.
Sites, in units of the cell vectors:
In: 0.5000 0.5000 0.5000  0.02
Ca: 0.0000 0.0000 0.0000  0.00
Se: 0.0000 0.5000 0.0000  0.67
Se: 0.5000 0.0000 0.0000  0.48
Se: 0.0000 0.0000 0.5000  0.63

N(E_F) (states/eV/f.u.): 3.56
Crystal system: cubic

*x*
Density functional theory data (PBE) for crystalline CaInSe3 at its relaxed geometry.

Lattice parameters (Å, degrees): 5.2793 5.2793 5.2793 90.00 90.00 90.00
Sites, in units of the cell vectors:
Se: 0.5000 0.0000 0.0000
Se: 0.0000 0.0000 0.5000
Se: 0.0000 0.5000 0.0000
Ca: 0.5000 0.5000 0.5000
In: 0.0000 0.0000 0.0000

N(E_F) (states/eV/f.u.): 3.65
Crystal system: cubic

So which one wins? Going from most stable to least: *x*, *w*.

*w*
Density functional theory data (PBE) for crystalline CaIn3Se at its relaxed geometry.

Lattice parameters (Å, degrees): 5.8947 5.8947 5.8947 90.00 90.00 90.00
Sites, in units of the cell vectors:
Se: 0.5000 0.5000 0.5000
In: 0.0000 0.5000 0.0000
In: 0.0000 0.0000 0.5000
In: 0.5000 0.0000 0.0000
Ca: 0.0000 0.0000 0.0000

N(E_F) (states/eV/f.u.): 5.97
Crystal system: cubic

*x*
Density functional theory data (PBE) for crystalline CaIn3Se at its relaxed geometry.

Lattice parameters (Å, degrees): 5.5925 5.5925 5.5925 90.00 90.00 90.00
Sites, in units of the cell vectors:
Se: 0.0000 0.0000 0.0000
Ca: 0.5000 0.5000 0.5000
In: 0.0000 0.0000 0.5000
In: 0.0000 0.5000 0.0000
In: 0.5000 0.0000 0.0000

N(E_F) (states/eV/f.u.): 3.41
Crystal system: cubic

So which one wins? Going from most stable to least: *x*, *w*.